A relaxed NaCaMoS2 crystal, computed with GGA-PBE.

The structure in POSCAR format:
```
NaCaMoS2
1.0
4.9849 0.0000 0.0000
0.0000 4.6447 0.0000
0.0000 0.0000 4.9849
S Na Mo Ca
2 1 1 1
direct
0.5000 0.0000 0.0000
0.0000 0.0000 0.5000
0.0000 0.0000 0.0000
0.5000 0.5000 0.5000
0.0000 0.5000 0.0000
```

Output
Formation energy (no corrections) ... 0.71 eV/atom
Total magnetization ... 4.688 μB/f.u.

A relaxed NaCaMoSe2 crystal, computed with GGA-PBE.

The structure in POSCAR format:
```
NaCaMoSe2
1.0
5.1857 0.0000 0.0000
0.0000 4.7866 0.0000
0.0000 0.0000 5.1857
Se Ca Na Mo
2 1 1 1
direct
0.5000 0.0000 0.0000
0.0000 0.0000 0.5000
0.0000 0.5000 0.0000
0.0000 0.0000 0.0000
0.5000 0.5000 0.5000
```

Output
Formation energy (no corrections) ... 0.66 eV/atom
Total magnetization ... 4.710 μB/f.u.

A relaxed NaSrCaMo2 crystal, computed with GGA-PBE.

The structure in POSCAR format:
```
NaSrCaMo2
1.0
-2.3922 3.7830 -2.0010
-4.8637 -3.3948 -0.6037
-1.5224 1.3902 4.4483
Na Mo Sr Ca
1 2 1 1
direct
0.5000 0.5000 0.5000
0.5000 0.0000 0.0000
0.0000 0.0000 0.5000
0.0000 0.5000 0.0000
0.0000 0.0000 0.0000
```

Output
Energy of formation from the pure elements ... 10.047 eV per formula unit
Total magnetization ... 0.000 μB/f.u.

A relaxed NaSr2CaMo crystal, computed with GGA-PBE.

The structure in POSCAR format:
```
NaSr2CaMo
1.0
-0.0525 5.5685 -3.4906
-0.6780 -2.6051 -4.1457
-6.5100 0.4348 0.7915
Sr Ca Mo Na
2 1 1 1
direct
0.5000 0.0000 0.0000
0.0000 0.0000 0.5000
0.0000 0.0000 0.0000
0.0000 0.5000 0.0000
0.5000 0.5000 0.5000
```

Output
Energy of formation from the pure elements ... 5.894 eV per formula unit
Total magnetization ... 1.605 μB/f.u.

A relaxed NaCa2TcMo crystal, computed with GGA-PBE.

The structure in POSCAR format:
```
NaCa2TcMo
1.0
-3.3238 -1.9961 -3.6855
4.0698 -2.6613 -2.2290
-1.0132 -4.2365 3.2083
Ca Tc Mo Na
2 1 1 1
direct
0.0000 0.5000 0.0000
0.5000 0.0000 0.0000
0.0000 0.0000 0.0000
0.5000 0.5000 0.5000
0.0000 0.0000 0.5000
```

Output
Energy of formation from the pure elements ... 7.614 eV per formula unit
Total magnetization ... 5.988 μB/f.u.

A relaxed NaCa2MoW crystal, computed with GGA-PBE.

The structure in POSCAR format:
```
NaCa2MoW
1.0
-2.6513 -5.2377 0.5074
3.2123 -1.3338 3.0174
-3.2853 2.0914 4.4220
Mo Ca W Na
1 2 1 1
direct
0.0000 0.0000 0.0000
0.0000 0.0000 0.5000
0.5000 0.0000 0.0000
0.0000 0.5000 0.0000
0.5000 0.5000 0.5000
```

Output
Energy of formation from the pure elements ... 5.026 eV per formula unit
Total magnetization ... 0.000 μB/f.u.